NaMo2Br, relaxed, DFT PBE; total energy = -18.18 eV per formula unit; spin magnetization = 2.6 μB per cell; formation energy from raw total energies = 1.62 eV per atom
1.0
0.0000 3.2711 3.2711
3.2711 0.0000 3.2711
3.2711 3.2711 0.0000
Mo Na Br
2 1 1
direct
0.7500 0.7500 0.7500
0.2500 0.2500 0.2500
0.0000 0.0000 0.0000
0.5000 0.5000 0.5000